Entry from Alexandria via LeMat-Bulk: a relaxed Cs2MgI7 crystal (PBE).

## Properties
- calculated volume (Å³/f.u.) = 500.5
- density of states at the Fermi level (states/eV/cell) = 11.28
- spin magnetization (μB per atom) = 0.00
- formation energy from raw total energies (eV per atom) = -0.80
- DFT total energy (eV per formula unit) = -22.140
- space-group type = No. 139

abc: 9.064 9.064 9.064
angles: 123.00 123.00 84.88
Element x y z (fractional)
Cs 0.250 0.750 0.500
Cs 0.750 0.250 0.500
Mg 0.000 0.000 0.000
I 0.209 0.209 0.000
I 0.247 0.247 0.494
I 0.247 0.753 0.000
I 0.500 0.500 0.000
I 0.753 0.247 0.000
I 0.753 0.753 0.506
I 0.791 0.791 0.000